The following is a DFT calculation (GGA-PBEsol) of a relaxed TaCoPt2 crystal.

Computed properties:
- magnetic moment (μB per atom) = 0.140
- DOS at the Fermi energy (states/eV/f.u.) = 3.94
- energy of formation (eV per atom) = -0.531

Unit cell a=3.8411 b=3.8411 c=7.7078 alpha=90.00 beta=90.00 gamma=90.00
Fractional coordinates of all 8 atoms:
Ta 0.0000 0.0000 0.0000
Ta 0.5000 0.5000 0.5000
Co 0.0000 0.5000 0.2500
Co 0.5000 0.0000 0.7500
Pt 0.0000 0.0000 0.5000
Pt 0.0000 0.5000 0.7500
Pt 0.5000 0.0000 0.2500
Pt 0.5000 0.5000 0.0000

The following is a DFT calculation (GGA-PBEsol) of a relaxed HfTl2SnN crystal.

Computed properties:
- magnetic moment (μB per atom) = 0.586
- energy relative to the elements, uncorrected (eV/atom) = 1.532
- DOS at the Fermi energy (states/eV/f.u.) = 4.06

Unit cell a=5.6363 b=5.6363 c=5.4232 alpha=90.00 beta=90.00 gamma=90.00
Fractional coordinates of all 5 atoms:
Hf 0.0000 0.0000 0.0000
Tl 0.0000 0.5000 0.0000
Tl 0.5000 0.0000 0.0000
Sn 0.0000 0.0000 0.5000
N 0.5000 0.5000 0.5000

The following is a DFT calculation (GGA-PBEsol) of a relaxed NbSiB3 crystal.

Computed properties:
- magnetic moment (μB per atom) = 0.000
- energy relative to the elements, uncorrected (eV/atom) = 1.284
- DOS at the Fermi energy (states/eV/f.u.) = 3.04

Unit cell a=3.8318 b=3.8318 c=3.8318 alpha=90.00 beta=90.00 gamma=90.00
Fractional coordinates of all 5 atoms:
Nb 0.0000 0.0000 0.0000
Si 0.5000 0.5000 0.5000
B 0.0000 0.5000 0.5000
B 0.5000 0.0000 0.5000
B 0.5000 0.5000 0.0000

The following is a DFT calculation (GGA-PBEsol) of a relaxed TmMg3 crystal.

Computed properties:
- magnetic moment (μB per atom) = 0.000
- DOS at the Fermi energy (states/eV/f.u.) = 1.84
- energy of formation (eV per atom) = -0.044

Unit cell a=7.2115 b=7.2115 c=7.2115 alpha=90.00 beta=90.00 gamma=90.00
Fractional coordinates of all 16 atoms:
Tm 0.0000 0.0000 0.0000
Tm 0.0000 0.5000 0.5000
Tm 0.5000 0.0000 0.5000
Tm 0.5000 0.5000 0.0000
Mg 0.0000 0.0000 0.5000
Mg 0.0000 0.5000 0.0000
Mg 0.2500 0.2500 0.2500
Mg 0.2500 0.2500 0.7500
Mg 0.2500 0.7500 0.2500
Mg 0.2500 0.7500 0.7500
Mg 0.5000 0.0000 0.0000
Mg 0.5000 0.5000 0.5000
Mg 0.7500 0.2500 0.2500
Mg 0.7500 0.2500 0.7500
Mg 0.7500 0.7500 0.2500
Mg 0.7500 0.7500 0.7500

The following is a DFT calculation (GGA-PBEsol) of a relaxed InCuRe2 crystal.

Computed properties:
- magnetic moment (μB per atom) = 0.000
- DOS at the Fermi energy (states/eV/f.u.) = 4.67
- energy of formation (eV per atom) = 0.597

Unit cell a=3.7277 b=3.7277 c=4.3867 alpha=90.00 beta=90.00 gamma=90.00
Fractional coordinates of all 4 atoms:
In 0.0000 0.0000 0.0000
Cu 0.5000 0.5000 0.0000
Re 0.0000 0.5000 0.5000
Re 0.5000 0.0000 0.5000

The following is a DFT calculation (GGA-PBEsol) of a relaxed K4LaCr crystal.

Computed properties:
- magnetic moment (μB per atom) = 0.696
- DOS at the Fermi energy (states/eV/f.u.) = 11.02
- energy of formation (eV per atom) = 0.976

Unit cell a=7.2714 b=7.2714 c=7.2714 alpha=60.00 beta=60.00 gamma=60.00
Fractional coordinates of all 6 atoms:
K 0.3762 0.3762 0.3762
K 0.3762 0.3762 0.8713
K 0.3762 0.8713 0.3762
K 0.8713 0.3762 0.3762
La 0.0000 0.0000 0.0000
Cr 0.7500 0.7500 0.7500

What is the formula in the sixth record?
K4LaCr

Number 2 is which compound?
HfTl2SnN